Record 1
20
Lattice="4.361 0.000 0.000 0.000 4.361 0.000 0.000 0.000 22.031" Properties=species:S:1:pos:R:3 comment="PBE Li4ScCd15, optimized geometry" total_energy_ev_per_cell=-31.20 pbc="T T T"
Li 0.000 0.000 2.165
Li 0.000 0.000 6.578
Li 0.000 0.000 15.453
Li 0.000 0.000 19.866
Sc 0.000 0.000 11.015
Cd 0.000 2.181 0.000
Cd 0.000 2.181 4.368
Cd 0.000 2.181 8.732
Cd 0.000 2.181 13.299
Cd 0.000 2.181 17.663
Cd 2.181 0.000 0.000
Cd 2.181 0.000 4.368
Cd 2.181 0.000 8.732
Cd 2.181 0.000 13.299
Cd 2.181 0.000 17.663
Cd 2.181 2.181 2.200
Cd 2.181 2.181 6.525
Cd 2.181 2.181 11.015
Cd 2.181 2.181 15.506
Cd 2.181 2.181 19.831

Record 2
6
Lattice="5.030 0.000 0.000 0.000 4.239 0.000 -0.037 0.000 7.850" Properties=species:S:1:pos:R:3 comment="PBE BaMnAs, optimized geometry" total_energy_ev_per_cell=-33.13 pbc="T T T"
Ba 0.000 0.000 0.000
Ba -0.019 2.119 3.925
Mn 2.498 0.000 2.964
Mn 2.494 0.000 4.885
As 2.494 2.119 1.843
As 2.498 2.119 6.007

Record 3
5
Lattice="4.905 0.000 0.000 0.000 4.905 0.000 0.000 0.000 7.215" Properties=species:S:1:pos:R:3 comment="PBE RbTl2Hg2, optimized geometry" e_above_lowest_polymorph_mev_per_atom=14 pbc="T T T"
Rb 0.000 0.000 0.000
Tl 0.000 2.452 3.607
Tl 2.452 0.000 3.607
Hg 2.452 2.452 1.497
Hg 2.452 2.452 5.718

Record 4
4
Lattice="3.321 0.000 0.000 0.000 3.321 0.000 0.000 0.000 7.903" Properties=species:S:1:pos:R:3 comment="PBE Y2BeW, optimized geometry" total_energy_ev_per_cell=-28.51 pbc="T T T"
Y 0.000 0.000 0.000
Y 1.660 1.660 3.150
Be 0.000 0.000 5.101
W 1.660 1.660 5.897

Record 5
24
Lattice="7.785 -11.993 0.000 7.785 11.993 0.000 0.000 0.000 3.607" Properties=species:S:1:pos:R:3 comment="PBE Tm4Cd9Pb11, optimized geometry" total_energy_ev_per_cell=-68.38 pbc="T T T"
Tm 2.517 2.499 0.000
Tm 2.517 -2.499 0.000
Tm 13.053 2.499 0.000
Tm 13.053 -2.499 0.000
Cd 0.000 0.000 0.000
Cd 6.256 6.360 0.000
Cd 5.631 1.692 0.000
Cd 9.314 6.360 0.000
Cd 5.631 -1.692 0.000
Cd 9.938 1.692 0.000
Cd 6.256 -6.360 0.000
Cd 9.938 -1.692 0.000
Cd 9.314 -6.360 0.000
Pb 4.442 4.402 1.803
Pb 7.785 8.940 1.803
Pb 3.016 0.000 1.803
Pb 7.785 3.753 1.803
Pb 4.442 -4.402 1.803
Pb 7.785 0.000 1.803
Pb 11.127 4.402 1.803
Pb 7.785 -3.753 1.803
Pb 12.554 0.000 1.803
Pb 7.785 -8.940 1.803
Pb 11.127 -4.402 1.803

Record 6
11
Lattice="4.889 0.000 0.000 0.000 6.854 0.000 -2.428 0.000 7.317" Properties=species:S:1:pos:R:3 comment="PBE Tm6Pd5, optimized geometry" total_energy_ev_per_cell=-61.90 pbc="T T T"
Tm 0.000 1.710 0.000
Tm 0.000 5.145 0.000
Tm 0.012 1.706 4.902
Tm 0.012 5.149 4.902
Tm 2.450 1.706 2.415
Tm 2.450 5.149 2.415
Pd 0.004 0.000 2.436
Pd 0.008 3.427 2.512
Pd 2.445 3.427 0.000
Pd 2.454 3.427 4.804
Pd 2.457 0.000 4.881

Record 7
10
Lattice="4.349 0.000 0.000 0.000 4.349 0.000 0.000 0.000 13.703" Properties=species:S:1:pos:R:3 comment="PBE TbPaBi2C, optimized geometry" total_energy_ev_per_cell=-65.49 pbc="T T T"
Tb 1.087 1.087 1.254
Tb 3.262 3.262 12.448
Pa 1.087 1.087 7.830
Pa 3.262 3.262 5.873
Bi 1.087 1.087 4.410
Bi 1.087 1.087 11.736
Bi 3.262 3.262 1.967
Bi 3.262 3.262 9.293
C 1.087 3.262 6.851
C 3.262 1.087 6.851

Record 8
8
Lattice="5.272 0.000 0.000 0.000 3.353 0.000 -1.624 0.000 5.112" Properties=species:S:1:pos:R:3 comment="PBE Li2DyPdO4, optimized geometry" total_energy_ev_per_cell=-48.36 pbc="T T T"
Li 0.000 0.000 0.000
Li 2.636 1.676 0.000
Dy -0.812 1.676 2.556
Pd 1.824 0.000 2.556
O 0.117 0.000 3.776
O 1.042 1.676 1.282
O 2.605 1.676 3.830
O 3.530 0.000 1.336

Record 9
5
Lattice="5.906 0.000 0.000 0.000 5.906 0.000 0.000 0.000 6.131" Properties=species:S:1:pos:R:3 comment="PBE InBiTe2Se, optimized geometry" total_energy_ev_per_cell=-13.13 pbc="T T T"
In 0.000 0.000 0.000
Bi 0.000 0.000 3.066
Te 0.000 2.953 3.066
Te 2.953 0.000 3.066
Se 2.953 2.953 0.000

Record 10
4
Lattice="1.588 0.917 8.334 -1.588 0.917 8.334 0.000 -1.834 8.334" Properties=species:S:1:pos:R:3 comment="PBE SnClO2, optimized geometry" e_above_lowest_polymorph_mev_per_atom=0 pbc="T T T"
Sn 0.000 0.000 0.000
Cl 0.000 0.000 12.501
O 0.000 0.000 9.362
O 0.000 0.000 15.639

Record 11
8
Lattice="2.317 1.338 9.534 -2.317 1.338 9.534 0.000 -2.676 9.534" Properties=species:S:1:pos:R:3 comment="PBE AcGa4Ag2Hg, optimized geometry" total_energy_ev_per_cell=-23.57 pbc="T T T"
Ac 0.000 0.000 0.000
Ga 0.000 0.000 3.460
Ga 0.000 0.000 11.433
Ga 0.000 0.000 17.168
Ga 0.000 0.000 25.141
Ag 0.000 0.000 7.077
Ag 0.000 0.000 21.524
Hg 0.000 0.000 14.300

Record 12
9
Lattice="4.568 0.000 0.000 -2.284 3.956 0.000 0.000 0.000 4.837" Properties=species:S:1:pos:R:3 comment="PBE NaMgCoH6, optimized geometry" total_energy_ev_per_cell=-31.93 pbc="T T T"
Na 0.000 0.000 0.000
Mg 0.000 2.638 2.419
Co 2.284 1.319 2.419
H 1.679 0.291 3.386
H 1.091 1.309 1.452
H 2.889 0.291 1.452
H 1.696 2.357 3.386
H 3.477 1.309 3.386
H 2.872 2.357 1.452